## MgI (PBE)

Data for a geometry-optimized MgI structure.

Summary:
Crystal system: tetragonal
E_form (uncorrected) in eV/f.u.: -1.1
Total magnetic moment in μB per formula unit: 0.00
D(E_F) in states/eV/atom: 0.027

a b c (Å): 13.322 13.322 3.986
angles (deg): 90.00 90.00 90.00
Fractional positions:
Mg 0.297 0.830 0.000
Mg 0.703 0.170 0.000
Mg 0.170 0.297 0.000
Mg 0.830 0.703 0.000
Mg 0.797 0.330 0.500
Mg 0.203 0.670 0.500
Mg 0.670 0.797 0.500
Mg 0.330 0.203 0.500
I 0.489 0.222 0.000
I 0.511 0.778 0.000
I 0.778 0.489 0.000
I 0.222 0.511 0.000
I 0.989 0.722 0.500
I 0.011 0.278 0.500
I 0.278 0.989 0.500
I 0.722 0.011 0.500

---

## MgI (PBE)

Data for a geometry-optimized MgI structure.

Summary:
Crystal system: hexagonal
E_form (uncorrected) in eV/f.u.: -1.1
Total magnetic moment in μB per formula unit: 0.00
D(E_F) in states/eV/atom: 0.135

a b c (Å): 12.457 12.457 3.990
angles (deg): 90.00 90.00 120.00
Fractional positions:
Mg 0.582 0.973 0.250
Mg 0.609 0.582 0.750
Mg 0.027 0.609 0.250
Mg 0.418 0.027 0.750
Mg 0.391 0.418 0.250
Mg 0.973 0.391 0.750
I 0.826 0.201 0.250
I 0.624 0.826 0.750
I 0.799 0.624 0.250
I 0.174 0.799 0.750
I 0.376 0.174 0.250
I 0.201 0.376 0.750

---

## MgI (PBE)

Data for a geometry-optimized MgI structure.

Summary:
Crystal system: cubic
E_form (uncorrected) in eV/f.u.: -0.2
Total magnetic moment in μB per formula unit: 0.33
D(E_F) in states/eV/atom: 1.056

a b c (Å): 8.919 8.919 8.919
angles (deg): 90.00 90.00 90.00
Fractional positions:
Mg 0.250 0.000 0.500
Mg 0.750 0.000 0.500
Mg 0.000 0.500 0.250
Mg 0.000 0.500 0.750
Mg 0.500 0.250 0.000
Mg 0.500 0.750 0.000
I 0.250 0.500 0.000
I 0.750 0.500 0.000
I 0.500 0.000 0.250
I 0.500 0.000 0.750
I 0.000 0.250 0.500
I 0.000 0.750 0.500